[1]
Below is crystalline Mn2NiAu at its relaxed geometry, with properties calculated at the PBE-GGA level.

a = 2.7457 Å, b = 2.7457 Å, c = 25.5005 Å
α = 90.00°, β = 90.00°, γ = 120.00°
Space group R3m (No. 160, hexagonal axes)
Asymmetric unit:
Mn 0.0000 0.0000 0.0000 x3
Mn 0.0000 0.0000 0.2564 x3
Ni 0.0000 0.0000 0.7423 x3
Au 0.0000 0.0000 0.4982 x3

Properties
relative energy among the computed polymorphs = 185 meV per atom
energy of formation = 0.186 eV/atom

=====

[2]
Below is crystalline La4PmTl2 at its relaxed geometry, with properties calculated at the PBE-GGA level.

a = 6.901 Å, b = 10.812 Å, c = 6.380 Å
α = 90.00°, β = 98.80°, γ = 90.00°
Space group C2/m (No. 12)
Asymmetric unit:
La 0.000 0.204 0.000 x4
La 0.250 0.250 0.500 x4
Pm 0.000 0.000 0.500 x2
Tl 0.074 0.500 0.767 x4

Properties
relative energy among the computed polymorphs = 32 meV per atom
energy of formation = 0.020 eV/atom

=====

[3]
Below is crystalline Ce5Sn2Pb at its relaxed geometry, with properties calculated at the PBE-GGA level.

a = 5.702 Å, b = 11.632 Å, c = 13.913 Å
α = 90.00°, β = 90.00°, γ = 90.00°
Space group Cmcm (No. 63)
Asymmetric unit:
Ce 0.000 0.042 0.250 x4
Ce 0.000 0.104 0.533 x8
Ce 0.000 0.423 0.572 x8
Sn 0.000 0.302 0.138 x8
Pb 0.000 0.243 0.750 x4

Properties
energy of formation = -0.207 eV/atom

=====

[4]
Below is crystalline Lu2ZnCu at its relaxed geometry, with properties calculated at the PBE-GGA level.

a = 3.452 Å, b = 3.452 Å, c = 6.842 Å
α = 90.00°, β = 90.00°, γ = 90.00°
Space group P4/mmm (No. 123)
Asymmetric unit:
Lu 0.000 0.000 0.243 x2
Zn 0.500 0.500 0.500 x1
Cu 0.500 0.500 0.000 x1

Properties
relative energy among the computed polymorphs = 0 meV per atom
energy of formation = -0.328 eV/atom